[1]
! Li2Pm3Ag7 | Alexandria | PBE-GGA | relaxed; values from VASP
! * DOS(E_F): 7.0 states/eV/f.u.
! * density: 7.60 g/cm3
! * VASP energy: -3.31 eV/atom
! * energy relative to the elements: -0.1402 eV/atom
&SYSTEM
  ibrav = 0, nat = 12, ntyp = 3
/
ATOMIC_SPECIES
Li 6.94 Li.upf
Pm 145.00 Pm.upf
Ag 107.87 Ag.upf
CELL_PARAMETERS angstrom
4.669 0.000 0.000
0.000 4.238 0.000
-2.326 0.000 13.302
ATOMIC_POSITIONS angstrom
Li -0.005 0.000 3.551
Li 2.348 0.000 9.750
Pm 0.000 0.000 0.000
Pm 0.022 2.119 8.529
Pm 2.321 2.119 4.773
Ag -0.062 2.119 2.228
Ag 0.003 0.000 5.985
Ag 0.021 0.000 11.073
Ag 2.334 2.119 0.000
Ag 2.322 0.000 2.229
Ag 2.340 0.000 7.316
Ag 2.405 2.119 11.074

---

[2]
! AlCd2O4 | Alexandria | PBE-GGA | relaxed; values from VASP
! * DOS(E_F): 3.7 states/eV/f.u.
! * density: 6.42 g/cm3
! * E_form (uncorrected): -1.439 eV per atom
! * VASP energy: -5.07 eV/atom
&SYSTEM
  ibrav = 0, nat = 7, ntyp = 3
/
ATOMIC_SPECIES
Al 26.98 Al.upf
Cd 112.41 Cd.upf
O 16.00 O.upf
CELL_PARAMETERS angstrom
-1.865 1.865 5.870
1.865 -1.865 5.870
1.865 1.865 -5.870
ATOMIC_POSITIONS angstrom
Al 0.000 0.000 0.000
Cd 0.000 0.000 4.132
Cd 0.000 0.000 7.608
O 1.865 0.000 0.000
O 0.000 0.000 1.935
O 0.000 1.865 0.000
O 0.000 0.000 9.805

---

[3]
! CrRh2 | Alexandria | PBE-GGA | relaxed; values from VASP
! * DOS(E_F): 3.9 states/eV/f.u.
! * density: 10.67 g/cm3
! * VASP energy: -8.20 eV/atom
! * energy relative to the elements: -0.0881 eV/atom
&SYSTEM
  ibrav = 0, nat = 9, ntyp = 2
/
ATOMIC_SPECIES
Cr 52.00 Cr.upf
Rh 102.91 Rh.upf
CELL_PARAMETERS angstrom
7.159 0.000 0.000
-3.579 6.200 0.000
0.000 0.000 2.713
ATOMIC_POSITIONS angstrom
Cr 0.000 0.000 0.000
Cr 0.000 4.133 1.357
Cr 3.579 2.067 1.357
Rh -1.064 1.844 1.357
Rh -2.277 3.944 0.000
Rh 2.129 0.000 1.357
Rh 1.303 2.256 0.000
Rh 4.554 0.000 0.000
Rh 2.515 4.356 1.357

---

[4]
! LiBeFe2 | Alexandria | PBE-GGA | relaxed; values from VASP
! * DOS(E_F): 2.4 states/eV/f.u.
! * density: 4.99 g/cm3
! * VASP energy: -5.49 eV/atom
! * energy relative to the elements: 0.1553 eV/atom
&SYSTEM
  ibrav = 0, nat = 4, ntyp = 3
/
ATOMIC_SPECIES
Li 6.94 Li.upf
Be 9.01 Be.upf
Fe 55.84 Fe.upf
CELL_PARAMETERS angstrom
2.373 0.000 0.000
0.000 3.918 0.000
-0.817 0.000 4.567
ATOMIC_POSITIONS angstrom
Li 0.000 0.000 0.000
Be 0.778 0.000 2.284
Fe -0.028 1.959 3.384
Fe 1.584 1.959 1.183

---

[5]
! NbOs3Ru | Alexandria | PBE-GGA | relaxed; values from VASP
! * energy above the lowest structure with this stoichiometry: 0 meV per atom
! * DOS(E_F): 4.2 states/eV/f.u.
! * density: 16.37 g/cm3
! * VASP energy: -10.44 eV/atom
! * energy relative to the elements: 0.1681 eV/atom
&SYSTEM
  ibrav = 0, nat = 10, ntyp = 3
/
ATOMIC_SPECIES
Nb 92.91 Nb.upf
Os 190.23 Os.upf
Ru 101.07 Ru.upf
CELL_PARAMETERS angstrom
2.212 -6.369 0.000
2.212 6.369 0.000
0.000 0.000 5.507
ATOMIC_POSITIONS angstrom
Nb 2.212 -6.366 1.377
Nb 2.212 6.366 4.131
Os 2.212 3.888 5.507
Os 2.212 3.888 2.754
Os 2.212 1.603 4.131
Os 2.212 -1.603 1.377
Os 2.212 -3.888 0.000
Os 2.212 -3.888 2.753
Ru 2.212 1.572 1.377
Ru 2.212 -1.572 4.131

---

[6]
! NdCd3Ga3 | Alexandria | PBE-GGA | relaxed; values from VASP
! * DOS(E_F): 4.0 states/eV/f.u.
! * density: 5.78 g/cm3
! * VASP energy: -2.10 eV/atom
! * energy relative to the elements: 0.2695 eV/atom
&SYSTEM
  ibrav = 0, nat = 14, ntyp = 3
/
ATOMIC_SPECIES
Nd 144.24 Nd.upf
Cd 112.41 Cd.upf
Ga 69.72 Ga.upf
CELL_PARAMETERS angstrom
7.348 0.000 0.000
0.000 7.348 0.000
0.000 0.000 7.348
ATOMIC_POSITIONS angstrom
Nd 0.000 0.000 0.000
Nd 3.674 3.674 3.674
Cd 0.000 1.837 3.674
Cd 0.000 5.511 3.674
Cd 1.837 3.674 0.000
Cd 3.674 0.000 1.837
Cd 3.674 0.000 5.511
Cd 5.511 3.674 0.000
Ga 0.000 3.674 1.837
Ga 0.000 3.674 5.511
Ga 1.837 0.000 3.674
Ga 3.674 1.837 0.000
Ga 3.674 5.511 0.000
Ga 5.511 0.000 3.674

---

[7]
! NdDyY3Er | Alexandria | PBE-GGA | relaxed; values from VASP
! * DOS(E_F): 8.6 states/eV/f.u.
! * density: 6.35 g/cm3
! * VASP energy: -5.53 eV/atom
! * energy relative to the elements: 0.0224 eV/atom
&SYSTEM
  ibrav = 0, nat = 12, ntyp = 4
/
ATOMIC_SPECIES
Nd 144.24 Nd.upf
Dy 162.50 Dy.upf
Y 88.91 Y.upf
Er 167.26 Er.upf
CELL_PARAMETERS angstrom
2.527 -7.585 0.000
2.527 7.585 0.000
0.000 0.000 10.109
ATOMIC_POSITIONS angstrom
Nd 0.000 0.000 0.000
Nd 0.000 0.000 5.055
Dy 2.527 0.010 7.582
Dy 2.527 -0.010 2.527
Y 2.527 5.050 7.582
Y 2.527 2.535 10.105
Y 2.527 2.535 5.059
Y 2.527 -2.535 0.004
Y 2.527 -2.535 5.051
Y 2.527 -5.050 2.527
Er 2.527 5.060 2.527
Er 2.527 -5.060 7.582

---

[8]
! Dy2YO | Alexandria | PBE-GGA | relaxed; values from VASP
! * energy above the lowest structure with this stoichiometry: 0 meV per atom
! * DOS(E_F): 4.5 states/eV/f.u.
! * density: 7.59 g/cm3
! * E_form (uncorrected): -1.345 eV per atom
! * VASP energy: -6.50 eV/atom
&SYSTEM
  ibrav = 0, nat = 4, ntyp = 3
/
ATOMIC_SPECIES
Dy 162.50 Dy.upf
Y 88.91 Y.upf
O 16.00 O.upf
CELL_PARAMETERS angstrom
1.769 1.022 8.678
-1.769 1.022 8.678
0.000 -2.043 8.678
ATOMIC_POSITIONS angstrom
Dy 0.000 0.000 5.693
Dy 0.000 0.000 20.341
Y 0.000 0.000 0.000
O 0.000 0.000 13.017

---

[9]
! CaCd2NiGe | Alexandria | PBE-GGA | relaxed; values from VASP
! * DOS(E_F): 2.1 states/eV/f.u.
! * density: 5.79 g/cm3
! * VASP energy: -3.01 eV/atom
! * energy relative to the elements: -0.1646 eV/atom
&SYSTEM
  ibrav = 0, nat = 5, ntyp = 4
/
ATOMIC_SPECIES
Ca 40.08 Ca.upf
Cd 112.41 Cd.upf
Ni 58.69 Ni.upf
Ge 72.64 Ge.upf
CELL_PARAMETERS angstrom
4.994 0.000 0.000
0.000 4.994 0.000
0.000 0.000 4.556
ATOMIC_POSITIONS angstrom
Ca 0.000 0.000 0.000
Cd 0.000 2.497 2.278
Cd 2.497 0.000 2.278
Ni 2.497 2.497 2.278
Ge 2.497 2.497 0.000

---

[10]
! LiTa2W | Alexandria | PBE-GGA | relaxed; values from VASP
! * energy above the lowest structure with this stoichiometry: 173 meV per atom
! * DOS(E_F): 2.0 states/eV/f.u.
! * density: 13.00 g/cm3
! * VASP energy: -9.28 eV/atom
! * energy relative to the elements: 0.3653 eV/atom
&SYSTEM
  ibrav = 0, nat = 4, ntyp = 3
/
ATOMIC_SPECIES
Li 6.94 Li.upf
Ta 180.95 Ta.upf
W 183.84 W.upf
CELL_PARAMETERS angstrom
2.721 0.000 0.000
0.000 2.721 0.000
0.000 0.000 9.538
ATOMIC_POSITIONS angstrom
Li 0.000 0.000 0.000
Ta 1.360 1.360 2.461
Ta 1.360 1.360 7.076
W 0.000 0.000 4.769

---

[11]
! BeFe4H2 | Alexandria | PBE-GGA | relaxed; values from VASP
! * DOS(E_F): 4.1 states/eV/f.u.
! * density: 6.06 g/cm3
! * VASP energy: -5.80 eV/atom
&SYSTEM
  ibrav = 0, nat = 7, ntyp = 3
/
ATOMIC_SPECIES
Be 9.01 Be.upf
Fe 55.84 Fe.upf
H 1.01 H.upf
CELL_PARAMETERS angstrom
-1.931 1.931 4.305
1.931 -1.931 4.305
1.931 1.931 -4.305
ATOMIC_POSITIONS angstrom
Be 0.000 0.000 0.000
Fe 1.931 0.000 0.000
Fe 0.000 0.000 2.123
Fe 0.000 1.931 0.000
Fe 0.000 0.000 6.486
H 0.000 0.000 3.720
H 0.000 0.000 4.889

---

[12]
! HfV2PtRh | Alexandria | PBE-GGA | relaxed; values from VASP
! * DOS(E_F): 6.2 states/eV/f.u.
! * density: 9.89 g/cm3
! * VASP energy: -6.87 eV/atom
! * energy relative to the elements: 1.4511 eV/atom
&SYSTEM
  ibrav = 0, nat = 5, ntyp = 4
/
ATOMIC_SPECIES
Hf 178.49 Hf.upf
V 50.94 V.upf
Pt 195.08 Pt.upf
Rh 102.91 Rh.upf
CELL_PARAMETERS angstrom
4.586 0.000 0.000
0.000 4.586 0.000
0.000 0.000 4.618
ATOMIC_POSITIONS angstrom
Hf 0.000 0.000 0.000
V 0.000 2.293 0.000
V 2.293 0.000 0.000
Pt 2.293 2.293 2.309
Rh 0.000 0.000 2.309

---

What is the density in the seventh record? 6.35 g/cm3